Below is a relaxed Ac12Ga6Ir crystal, with properties calculated at the PBE level.

a = 9.175 Å, b = 9.175 Å, c = 9.175 Å
α = 99.13°, β = 99.13°, γ = 99.13°
Element x y z (fractional)
Ac: 0.816 0.571 0.429
Ac: 0.429 0.816 0.571
Ac: 0.571 0.429 0.816
Ac: 0.184 0.429 0.571
Ac: 0.571 0.184 0.429
Ac: 0.429 0.571 0.184
Ac: 0.072 0.967 0.317
Ac: 0.033 0.683 0.928
Ac: 0.683 0.928 0.033
Ac: 0.928 0.033 0.683
Ac: 0.967 0.317 0.072
Ac: 0.317 0.072 0.967
Ga: 0.697 0.867 0.371
Ga: 0.629 0.303 0.133
Ga: 0.133 0.629 0.303
Ga: 0.303 0.133 0.629
Ga: 0.371 0.697 0.867
Ga: 0.867 0.371 0.697
Ir: 0.000 0.000 0.000

**Energy relative to the elements**: -245 meV/atom



Below is a relaxed AcGa2Ir3 crystal, with properties calculated at the PBE level.

a = 3.907 Å, b = 5.733 Å, c = 5.733 Å
α = 120.00°, β = 90.00°, γ = 90.00°
Element x y z (fractional)
Ac: 0.000 0.000 0.000
Ga: 0.000 0.333 0.667
Ga: 0.000 0.667 0.333
Ir: 0.500 0.500 0.000
Ir: 0.500 0.500 0.500
Ir: 0.500 0.000 0.500

**Energy relative to the elements**: -655 meV/atom



Below is a relaxed AcGaIr2 crystal, with properties calculated at the PBE level.

a = 3.248 Å, b = 3.248 Å, c = 7.283 Å
α = 90.00°, β = 90.00°, γ = 90.00°
Element x y z (fractional)
Ac: 0.500 0.500 0.500
Ir: 0.000 0.000 0.806
Ir: 0.000 0.000 0.194
Ga: 0.500 0.500 0.000

**Energy relative to the elements**: -216 meV/atom



Below is a relaxed Ac12Ga3Ir5 crystal, with properties calculated at the PBE level.

a = 15.811 Å, b = 15.811 Å, c = 15.811 Å
α = 109.47°, β = 109.47°, γ = 109.47°
Element x y z (fractional)
Ga: 0.750 0.375 0.125
Ga: 0.875 0.750 0.125
Ga: 0.375 0.750 0.625
Ga: 0.250 0.125 0.375
Ga: 0.875 0.125 0.250
Ga: 0.375 0.625 0.250
Ga: 0.625 0.375 0.750
Ga: 0.125 0.875 0.750
Ga: 0.750 0.875 0.625
Ga: 0.625 0.250 0.375
Ga: 0.125 0.250 0.875
Ga: 0.250 0.625 0.875
Ir: 0.125 0.375 0.250
Ir: 0.000 0.500 0.000
Ir: 0.000 0.000 0.000
Ir: 0.375 0.250 0.125
Ir: 0.500 0.000 0.500
Ir: 0.500 0.500 0.000
Ir: 0.125 0.750 0.375
Ir: 0.750 0.125 0.875
Ir: 0.750 0.625 0.375
Ir: 0.375 0.125 0.750
Ir: 0.625 0.875 0.250
Ir: 0.500 0.500 0.500
Ir: 0.500 0.000 0.000
Ir: 0.000 0.000 0.500
Ir: 0.250 0.375 0.625
Ir: 0.250 0.875 0.125
Ir: 0.000 0.500 0.500
Ir: 0.875 0.250 0.625
Ir: 0.625 0.750 0.875
Ir: 0.875 0.625 0.750
Ac: 0.710 0.125 0.034
Ac: 0.324 0.534 0.409
Ac: 0.966 0.375 0.290
Ac: 0.534 0.210 0.125
Ac: 0.585 0.710 0.676
Ac: 0.966 0.591 0.176
Ac: 0.324 0.790 0.415
Ac: 0.091 0.915 0.125
Ac: 0.591 0.966 0.676
Ac: 0.710 0.585 0.176
Ac: 0.790 0.466 0.375
Ac: 0.824 0.909 0.034
Ac: 0.125 0.710 0.534
Ac: 0.375 0.409 0.085
Ac: 0.085 0.909 0.375
Ac: 0.415 0.125 0.591
Ac: 0.085 0.176 0.210
Ac: 0.466 0.676 0.091
Ac: 0.824 0.915 0.290
Ac: 0.125 0.415 0.091
Ac: 0.375 0.966 0.790
Ac: 0.591 0.625 0.415
Ac: 0.909 0.824 0.534
Ac: 0.790 0.324 0.915
Ac: 0.409 0.375 0.585
Ac: 0.091 0.176 0.466
Ac: 0.210 0.676 0.085
Ac: 0.176 0.085 0.710
Ac: 0.625 0.034 0.210
Ac: 0.875 0.585 0.909
Ac: 0.534 0.324 0.909
Ac: 0.585 0.875 0.409
Ac: 0.915 0.824 0.790
Ac: 0.915 0.091 0.625
Ac: 0.875 0.290 0.466
Ac: 0.176 0.091 0.966
Ac: 0.625 0.591 0.915
Ac: 0.409 0.034 0.324
Ac: 0.290 0.415 0.824
Ac: 0.210 0.534 0.625
Ac: 0.909 0.085 0.875
Ac: 0.676 0.210 0.585
Ac: 0.466 0.790 0.875
Ac: 0.034 0.409 0.824
Ac: 0.415 0.290 0.324
Ac: 0.034 0.625 0.710
Ac: 0.676 0.466 0.591
Ac: 0.290 0.875 0.966

**Energy relative to the elements**: -320 meV/atom



Below is a relaxed AcGa3Ir crystal, with properties calculated at the PBE level.

a = 4.867 Å, b = 4.867 Å, c = 4.867 Å
α = 90.00°, β = 90.00°, γ = 90.00°
Element x y z (fractional)
Ac: 0.500 0.500 0.500
Ir: 0.000 0.000 0.000
Ga: 0.000 0.500 0.000
Ga: 0.000 0.000 0.500
Ga: 0.500 0.000 0.000

**Distance to the lowest polymorph of the same formula**: 0.233 eV per atom
**Energy relative to the elements**: -412 meV/atom



Below is a relaxed AcGa9Ir2 crystal, with properties calculated at the PBE level.

a = 3.926 Å, b = 8.259 Å, c = 8.259 Å
α = 120.00°, β = 90.00°, γ = 90.00°
Element x y z (fractional)
Ac: 0.000 0.000 0.000
Ga: 0.500 0.797 0.203
Ga: 0.000 0.000 0.500
Ga: 0.000 0.500 0.500
Ga: 0.500 0.797 0.595
Ga: 0.500 0.203 0.797
Ga: 0.500 0.595 0.797
Ga: 0.500 0.203 0.405
Ga: 0.000 0.500 0.000
Ga: 0.500 0.405 0.203
Ir: 0.000 0.667 0.333
Ir: 0.000 0.333 0.667

**Distance to the lowest polymorph of the same formula**: 0.000 eV per atom
**Energy relative to the elements**: -383 meV/atom